This record from the Alexandria database describes a relaxed SiOsS3 crystal. The functional is PBE.

The calculation puts the energy above the most stable polymorph in this dataset at 0 meV/atom. For the uncorrected formation energy, the calculation gives 0.7517 eV/atom.

The structure belongs to space group Pm-3m (No. 221); the cell edges are 4.618, 4.618 and 4.618 Å and the angles 90.00°, 90.00° and 90.00°. The inequivalent atoms are Si at (0.000, 0.000, 0.000), Os at (0.500, 0.500, 0.500) and S at (0.000, 0.500, 0.500).


This record from the Alexandria database describes a relaxed Nd5Y4Tl crystal. The functional is PBE.

The formation enthalpy at 0 K comes out at 0.01 eV per atom.

The structure belongs to space group P4/mmm (No. 123); the cell edges are 4.208, 4.208 and 18.593 Å and the angles 90.00°, 90.00° and 90.00°. The inequivalent atoms are Nd at (0.000, 0.000, 0.000), Nd at (0.000, 0.000, 0.206), Nd at (0.000, 0.000, 0.411), Y at (0.500, 0.500, 0.103), Y at (0.500, 0.500, 0.307) and Tl at (0.500, 0.500, 0.500).


This record from the Alexandria database describes a relaxed In3SiMo crystal. The functional is PBE.

The calculation puts the energy above the most stable polymorph in this dataset at 146 meV/atom. For the uncorrected formation energy, the calculation gives 1.1420 eV/atom.

The structure belongs to space group Pm-3m (No. 221); the cell edges are 5.167, 5.167 and 5.167 Å and the angles 90.00°, 90.00° and 90.00°. The inequivalent atoms are In at (0.000, 0.000, 0.500), Si at (0.000, 0.000, 0.000) and Mo at (0.500, 0.500, 0.500).


This record from the Alexandria database describes a relaxed Cs2VRuN crystal. The functional is PBE.

The calculation puts the energy above the most stable polymorph in this dataset at 0 meV/atom. For the uncorrected formation energy, the calculation gives 1.2961 eV/atom.

The structure belongs to space group P4/mmm (No. 123); the cell edges are 6.632, 6.632 and 3.733 Å and the angles 90.00°, 90.00° and 90.00°. The inequivalent atoms are Cs at (0.000, 0.500, 0.000), V at (0.000, 0.000, 0.500), Ru at (0.500, 0.500, 0.500) and N at (0.500, 0.500, 0.000).


This record from the Alexandria database describes a relaxed YHoOsO6 crystal. The functional is PBE.

For the uncorrected formation energy, the calculation gives -2.3753 eV/atom.

The structure belongs to space group P-31c (No. 163); the cell edges are 5.4725, 5.4725 and 9.5462 Å and the angles 90.00°, 90.00° and 120.00°. The inequivalent atoms are Y at (0.0000, 0.0000, 0.0000), Ho at (0.3333, 0.6667, 0.2500), Os at (0.3333, 0.6667, 0.7500) and O at (0.0420, 0.3698, 0.6350).


This record from the Alexandria database describes a relaxed BaAl3 crystal. The functional is PBE.

The formation enthalpy at 0 K comes out at 0.15 eV per atom.

The structure belongs to space group I4/mmm (No. 139); the cell edges are 5.166, 5.166 and 7.374 Å and the angles 90.00°, 90.00° and 90.00°. The inequivalent atoms are Ba at (0.000, 0.000, 0.000), Al at (0.000, 0.000, 0.500) and Al at (0.000, 0.500, 0.250).


Repeat the second record exactly.
This record from the Alexandria database describes a relaxed Nd5Y4Tl crystal. The functional is PBE.

The formation enthalpy at 0 K comes out at 0.01 eV per atom.

The structure belongs to space group P4/mmm (No. 123); the cell edges are 4.208, 4.208 and 18.593 Å and the angles 90.00°, 90.00° and 90.00°. The inequivalent atoms are Nd at (0.000, 0.000, 0.000), Nd at (0.000, 0.000, 0.206), Nd at (0.000, 0.000, 0.411), Y at (0.500, 0.500, 0.103), Y at (0.500, 0.500, 0.307) and Tl at (0.500, 0.500, 0.500).